Crystalline PuAlB at its relaxed geometry, computed with PBE.

```
PuAlB
1.0
3.286 0.000 0.000
1.643 4.775 0.000
1.643 0.000 6.281
Pu Al B
2 2 2
direct
0.685 0.000 0.630 Pu
0.315 0.000 0.370 Pu
0.863 0.274 0.000 Al
0.137 0.726 0.000 Al
0.250 0.500 0.500 B
0.750 0.500 0.500 B
```

## Properties
The total moment comes out at 0.0 μB/cell. As for the distance to the lowest polymorph of the same formula: 1.22 eV/f.u. As for the space group: Fmmm, No. 69. The value obtained for the formation energy is 1.0 eV/f.u.

---

Crystalline AcGd2Te at its relaxed geometry, computed with PBE.

```
AcGd2Te
1.0
-0.382 -3.413 1.939
2.670 -2.859 -0.497
6.787 2.059 8.971
Te Gd Ac
1 2 1
direct
0.500 0.500 0.500 Te
0.106 0.106 0.681 Gd
0.894 0.894 0.319 Gd
0.000 0.000 0.000 Ac
```

## Properties
The total moment comes out at 15.3 μB/cell. As for the distance to the lowest polymorph of the same formula: 0.93 eV/f.u. As for the space group: R-3m, No. 166.

---

Crystalline MgMnZn2S4 at its relaxed geometry, computed with PBE.

```
MgMnZn2S4
1.0
5.519 0.229 0.000
-0.229 5.519 0.000
-2.644 -2.874 5.573
S Zn Mn Mg
4 2 1 1
direct
0.117 0.117 0.741 S
0.376 0.883 0.259 S
0.625 0.625 0.741 S
0.883 0.376 0.259 S
0.750 0.250 0.500 Zn
0.250 0.750 0.500 Zn
0.000 0.000 0.000 Mn
0.500 0.500 0.000 Mg
```

## Properties
The total moment comes out at 5.0 μB/cell. As for the space group: I-42m, No. 121. The total energy comes out at -37.0 eV per cell.

---

Crystalline Mg2RhBr at its relaxed geometry, computed with PBE.

```
Mg2RhBr
1.0
4.759 0.000 0.000
0.000 4.754 0.000
0.000 0.000 3.261
Mg Br Rh
2 1 1
direct
0.000 0.000 0.000 Mg
0.500 0.500 0.000 Mg
0.000 0.500 0.500 Br
0.500 0.000 0.500 Rh
```

## Properties
The total moment comes out at 0.0 μB/cell. As for the distance to the lowest polymorph of the same formula: 1.14 eV/f.u. As for the space group: P4/mmm, No. 123.

---

Crystalline RbPmMg2Br8 at its relaxed geometry, computed with PBE.

```
RbPmMg2Br8
1.0
6.924 0.764 0.743
0.815 6.938 0.831
0.963 1.112 9.617
Br Rb Pm Mg
8 1 1 2
direct
0.707 0.758 0.049 Br
0.365 0.305 0.521 Br
0.241 0.781 0.786 Br
0.182 0.718 0.232 Br
0.818 0.282 0.768 Br
0.759 0.219 0.214 Br
0.293 0.242 0.951 Br
0.635 0.695 0.479 Br
0.000 0.000 0.500 Rb
0.000 0.000 0.000 Pm
0.460 0.449 0.709 Mg
0.540 0.551 0.291 Mg
```

## Properties
The total moment comes out at 0.0 μB/cell. As for the space group: P-1, No. 2. The total energy comes out at -41.5 eV per cell.

---

Crystalline NaTi2Zn2 at its relaxed geometry, computed with PBE.

```
NaTi2Zn2
1.0
-3.576 7.304 1.542
-6.021 -3.833 4.191
1.407 0.220 2.222
Ti Na Zn
4 2 4
direct
0.881 0.619 0.000 Ti
0.381 0.881 0.000 Ti
0.619 0.119 0.000 Ti
0.119 0.381 0.000 Ti
0.500 0.500 0.000 Na
0.000 0.000 0.000 Na
0.674 0.826 0.500 Zn
0.326 0.174 0.500 Zn
0.826 0.326 0.500 Zn
0.174 0.674 0.500 Zn
```

## Properties
The total moment comes out at 0.3 μB/cell. As for the distance to the lowest polymorph of the same formula: 0.00 eV/f.u. As for the space group: P4/mbm, No. 127. The value obtained for the formation energy is 0.6 eV/f.u.

---

Crystalline LaPm2HgC at its relaxed geometry, computed with PBE.

```
LaPm2HgC
1.0
7.147 0.000 0.000
0.000 7.147 0.000
-3.574 -3.574 5.192
La C Pm Hg
2 2 4 2
direct
0.750 0.750 0.500 La
0.250 0.250 0.500 La
0.000 0.000 0.001 C
0.500 0.500 0.001 C
0.308 0.808 0.000 Pm
0.192 0.308 0.000 Pm
0.692 0.192 0.000 Pm
0.808 0.692 0.000 Pm
0.250 0.750 0.500 Hg
0.750 0.250 0.500 Hg
```

## Properties
The total moment comes out at 0.0 μB/cell. As for the space group: I4/mcm, No. 140. The value obtained for the formation energy is -1.4 eV/f.u.

---

Crystalline AcNd2SmY2 at its relaxed geometry, computed with PBE.

```
AcNd2SmY2
1.0
3.537 0.000 0.000
0.000 6.568 0.000
0.000 0.000 18.923
Nd Ac Y Sm
4 2 4 2
direct
0.000 0.816 0.195 Nd
0.500 0.316 0.305 Nd
0.500 0.684 0.695 Nd
0.000 0.184 0.805 Nd
0.500 0.500 0.500 Ac
0.000 0.000 0.000 Ac
0.000 0.319 0.146 Y
0.000 0.681 0.854 Y
0.500 0.181 0.646 Y
0.500 0.819 0.354 Y
0.500 0.500 0.000 Sm
0.000 0.000 0.500 Sm
```

## Properties
The total moment comes out at 0.0 μB/cell. As for the space group: Pnnm, No. 58. The value obtained for the formation energy is 1.7 eV/f.u.

---

Crystalline LaDyGe2 at its relaxed geometry, computed with PBE.

```
LaDyGe2
1.0
-2.176 -0.459 4.157
-3.397 -3.225 0.540
1.919 -4.944 3.132
Ge Dy La
2 1 1
direct
0.761 0.761 0.717 Ge
0.239 0.239 0.283 Ge
0.500 0.500 0.500 Dy
0.000 0.000 0.000 La
```

## Properties
The total moment comes out at 0.0 μB/cell. As for the space group: R-3m, No. 166. The value obtained for the formation energy is -2.7 eV/f.u.

---

Crystalline Dy3ScIn at its relaxed geometry, computed with PBE.

```
Dy3ScIn
1.0
4.630 0.000 1.058
0.000 4.754 0.000
-0.407 0.000 12.440
Sc In Dy
2 2 6
direct
0.475 0.750 0.698 Sc
0.173 0.250 0.302 Sc
0.672 0.750 0.305 In
0.977 0.250 0.695 In
0.769 0.250 0.109 Dy
0.074 0.750 0.500 Dy
0.879 0.750 0.891 Dy
0.271 0.750 0.105 Dy
0.377 0.250 0.895 Dy
0.574 0.250 0.500 Dy
```

## Properties
The total moment comes out at 0.0 μB/cell. As for the distance to the lowest polymorph of the same formula: 0.00 eV/f.u. As for the space group: Cmcm, No. 63. The value obtained for the formation energy is -0.9 eV/f.u.

---

Crystalline Be2AlB at its relaxed geometry, computed with PBE.

```
Be2AlB
1.0
0.149 -3.260 -1.981
-1.653 -3.151 1.383
-3.156 -1.380 -1.646
Be Al B
2 1 1
direct
0.750 0.750 0.750 Be
0.250 0.250 0.250 Be
0.500 0.500 0.500 Al
0.000 0.000 0.000 B
```

## Properties
The total moment comes out at 0.0 μB/cell. As for the distance to the lowest polymorph of the same formula: 3.14 eV/f.u. As for the space group: Fm-3m, No. 225. The value obtained for the formation energy is 3.2 eV/f.u.

---

Crystalline AlSi2HgP at its relaxed geometry, computed with PBE.

```
AlSi2HgP
1.0
5.036 0.000 0.000
0.000 5.028 0.000
0.000 0.000 5.036
Si Al P Hg
2 1 1 1
direct
0.000 0.000 0.500 Si
0.500 0.000 0.000 Si
0.500 0.500 0.500 Al
0.000 0.500 0.000 P
0.000 0.000 0.000 Hg
```

## Properties
The total moment comes out at 0.0 μB/cell. As for the space group: P4/mmm, No. 123. The total energy comes out at -13.5 eV per cell.

---

Crystalline Y2HgSb at its relaxed geometry, computed with PBE.

```
Y2HgSb
1.0
-0.471 -0.819 -4.106
-3.572 -1.737 -1.406
-4.368 6.223 -2.902
Sb Y Hg
1 2 1
direct
0.667 0.667 0.998 Sb
0.255 0.255 0.235 Y
0.079 0.079 0.764 Y
0.499 0.499 0.503 Hg
```

## Properties
The total moment comes out at 0.0 μB/cell. As for the distance to the lowest polymorph of the same formula: 0.53 eV/f.u. As for the space group: R3m, No. 160.

---

Crystalline ZrNbRe2Te at its relaxed geometry, computed with PBE.

```
ZrNbRe2Te
1.0
4.788 0.000 0.000
0.000 5.115 0.000
0.000 0.000 4.788
Zr Re Nb Te
1 2 1 1
direct
0.500 0.500 0.500 Zr
0.000 0.000 0.500 Re
0.500 0.000 0.000 Re
0.000 0.000 0.000 Nb
0.000 0.500 0.000 Te
```

## Properties
The total moment comes out at 0.0 μB/cell. As for the space group: P4/mmm, No. 123. The total energy comes out at -38.9 eV per cell.

---

Crystalline Y2SbOs at its relaxed geometry, computed with PBE.

```
Y2SbOs
1.0
-3.999 3.627 -2.283
-4.320 1.877 3.488
5.845 -0.383 0.210
Sb Y Os
1 2 1
direct
0.750 0.250 0.500 Sb
0.250 0.750 0.500 Y
0.000 0.000 0.000 Y
0.500 0.500 0.000 Os
```

## Properties
The total moment comes out at 0.0 μB/cell. As for the space group: I-4m2, No. 119. The total energy comes out at -29.2 eV per cell.

---

Crystalline Pr3Tl3InSe8 at its relaxed geometry, computed with PBE.

```
Pr3Tl3InSe8
1.0
8.584 0.000 0.000
-4.292 7.434 -0.026
0.000 -4.927 7.623
Tl Se Pr In
3 8 3 1
direct
0.000 0.500 0.000 Tl
0.500 0.500 0.000 Tl
0.000 0.000 0.000 Tl
0.246 0.019 0.291 Se
0.228 0.981 0.709 Se
0.754 0.981 0.709 Se
0.772 0.019 0.291 Se
0.739 0.478 0.718 Se
0.772 0.545 0.291 Se
0.228 0.455 0.709 Se
0.261 0.522 0.282 Se
0.500 0.000 0.500 Pr
0.500 0.500 0.500 Pr
0.000 0.500 0.500 Pr
0.000 0.000 0.500 In
```

## Properties
The total moment comes out at 0.0 μB/cell. As for the space group: R-3m, No. 166. The total energy comes out at -68.8 eV per cell.

---

Crystalline CaNb2Ru2 at its relaxed geometry, computed with PBE.

```
CaNb2Ru2
1.0
7.839 0.000 0.000
0.000 7.839 0.000
0.000 0.000 3.024
Ca Nb Ru
2 4 4
direct
0.000 0.000 0.000 Ca
0.500 0.500 0.000 Ca
0.148 0.648 0.500 Nb
0.648 0.852 0.500 Nb
0.352 0.148 0.500 Nb
0.852 0.352 0.500 Nb
0.857 0.643 0.000 Ru
0.357 0.857 0.000 Ru
0.643 0.143 0.000 Ru
0.143 0.357 0.000 Ru
```

## Properties
The total moment comes out at 0.0 μB/cell. As for the distance to the lowest polymorph of the same formula: 0.46 eV/f.u. As for the space group: P4/mbm, No. 127. The value obtained for the formation energy is 0.0 eV/f.u.

---

Crystalline Co3Br at its relaxed geometry, computed with PBE.

```
Co3Br
1.0
-0.019 1.416 -2.708
-2.268 -1.822 -0.936
-4.110 4.021 2.132
Co Br
3 1
direct
0.500 0.500 0.699 Co
0.000 0.000 0.500 Co
0.500 0.500 0.301 Co
0.000 0.000 0.000 Br
```

## Properties
The total moment comes out at 5.7 μB/cell. As for the distance to the lowest polymorph of the same formula: 0.87 eV/f.u. As for the space group: P4/mmm, No. 123.

---

Crystalline CaSi2C at its relaxed geometry, computed with PBE.

```
CaSi2C
1.0
6.548 0.000 0.000
0.000 6.548 0.000
3.274 3.274 3.045
Ca Si C
2 4 2
direct
0.750 0.250 0.500 Ca
0.000 0.000 0.000 Ca
0.232 0.625 0.250 Si
0.375 0.482 0.750 Si
0.518 0.125 0.250 Si
0.875 0.768 0.750 Si
0.500 0.500 0.000 C
0.250 0.750 0.500 C
```

## Properties
The total moment comes out at 0.0 μB/cell. As for the space group: I-42d, No. 122. The total energy comes out at -41.4 eV per cell.

---

Crystalline La2CeSc at its relaxed geometry, computed with PBE.

```
La2CeSc
1.0
5.675 0.000 0.000
2.837 4.915 0.000
2.837 1.638 4.634
Sc La Ce
1 2 1
direct
0.500 0.500 0.500 Sc
0.250 0.250 0.250 La
0.750 0.750 0.750 La
0.000 0.000 0.000 Ce
```

## Properties
The total moment comes out at 2.3 μB/cell. As for the distance to the lowest polymorph of the same formula: 0.42 eV/f.u. As for the space group: Fm-3m, No. 225. The value obtained for the formation energy is 0.8 eV/f.u.